Entry from the Alexandria database: a relaxed Zr2AsP crystal (PBE-GGA).

Summary:
As for the space group: No. 10. As for the formation energy: -889 meV/atom. The calculation puts the final energy at -30.7 eV for the cell shown.

Cell lengths 3.4851, 3.3239, 6.8316 Å; angles 71.25, 90.00, 90.00 degrees
Last column: nearest neighbours and their distance in Å.
Fractional coordinates of all 4 atoms:
1 As 0.5000 0.2500 0.2500  8 Zr 2.92-2.94
2 P 0.5000 0.7500 0.7500  4 Zr 2.60
3 Zr 0.0000 0.9263 0.9924  2 P 2.60
4 Zr 0.0000 0.5737 0.5076  2 P 2.60